No. 1
Below is a relaxed Ac3GaSn3 crystal, with properties calculated at the PBE level.

abc: 9.6708 9.6708 6.8375
angles: 90.00 90.00 120.00
Space group P6_3/m (No. 176)
One atom of each set of equivalent atoms:
Ac (0.0676, 0.3745, 0.2500) x6
Ga (0.3333, 0.6667, 0.7500) x2
Sn (0.0694, 0.3687, 0.7500) x6

Properties
Size of the total moment, μB/cell: 0.00
Formation energy from the elements, eV/atom: -0.4514
Offset from the most stable computed form, kJ/mol of formula units: 129
Calculated total energy, eV/cell: -61.04

***

No. 2
Below is a relaxed Ac3Ga9Sn2 crystal, with properties calculated at the PBE level.

abc: 4.4889 10.2787 14.4948
angles: 90.00 90.00 90.00
Space group Immm (No. 71)
One atom of each set of equivalent atoms:
Ac (0.0000, 0.0000, 0.0000) x2
Ac (0.0000, 0.0000, 0.3206) x4
Ga (0.0000, 0.2636, 0.1516) x8
Ga (0.0000, 0.3711, 0.3260) x8
Ga (0.0000, 0.5000, 0.0000) x2
Sn (0.0000, 0.2298, 0.5000) x4

Properties
Size of the total moment, μB/cell: 0.00
Formation energy from the elements, eV/atom: -0.4491
Calculated total energy, eV/cell: -107.72

***

No. 3
Below is a relaxed Ac4GaSn2 crystal, with properties calculated at the PBE level.

abc: 5.6984 5.6984 17.7840
angles: 90.00 90.00 90.00
Space group I4/mmm (No. 139)
One atom of each set of equivalent atoms:
Ac (0.0000, 0.0000, 0.1815) x4
Ac (0.0000, 0.5000, 0.0000) x4
Ga (0.0000, 0.0000, 0.0000) x2
Sn (0.0000, 0.0000, 0.3699) x4

Properties
Size of the total moment, μB/cell: 0.00
Formation energy from the elements, eV/atom: -0.2768
Offset from the most stable computed form, kJ/mol of formula units: 82
Calculated total energy, eV/cell: -58.81

***

No. 4
Below is a relaxed Ac2GaSn4 crystal, with properties calculated at the PBE level.

abc: 6.4470 6.4470 10.6898
angles: 90.00 90.00 90.00
Space group I4mm (No. 107)
One atom of each set of equivalent atoms:
Ac (0.0000, 0.5000, 0.0000) x4
Ga (0.0000, 0.0000, 0.4298) x2
Sn (0.2479, 0.2479, 0.7454) x8

Properties
Size of the total moment, μB/cell: 0.00
Formation energy from the elements, eV/atom: -0.4738
Calculated total energy, eV/cell: -61.14

***

No. 5
Below is a relaxed Ac2GaSn crystal, with properties calculated at the PBE level.

abc: 5.4309 5.4309 4.3929
angles: 90.00 90.00 90.00
Space group P4/mmm (No. 123)
One atom of each set of equivalent atoms:
Ac (0.0000, 0.5000, 0.0000) x2
Ga (0.0000, 0.0000, 0.5000) x1
Sn (0.5000, 0.5000, 0.5000) x1

Properties
Size of the total moment, μB/cell: 0.00
Formation energy from the elements, eV/atom: -0.5217
Calculated total energy, eV/cell: -17.33

***

No. 6
Below is a relaxed Ac3Ga2Sn crystal, with properties calculated at the PBE level.

abc: 13.2411 4.6381 13.0674
angles: 90.00 90.00 90.00
Space group Pnma (No. 62)
One atom of each set of equivalent atoms:
Ac (0.0643, 0.2500, 0.1179) x4
Ac (0.1220, 0.7500, 0.5627) x4
Ac (0.1917, 0.2500, 0.8081) x4
Ga (0.0220, 0.7500, 0.3115) x4
Ga (0.1935, 0.7500, 0.0035) x4
Sn (0.1353, 0.2500, 0.3672) x4

Properties
Size of the total moment, μB/cell: 0.00
Formation energy from the elements, eV/atom: -0.4865
Offset from the most stable computed form, kJ/mol of formula units: 3
Calculated total energy, eV/cell: -101.20